OsCSCl2 (GGA-PBE, relaxed); E_form (uncorrected) = 946 kJ/mol of formula units; spin magnetization = 2.8 μB per cell; final energy = -3.69 eV/atom; energy above the lowest structure with this stoichiometry = 0.382 eV/atom
1.0
-3.962 -0.080 1.156
-1.125 -0.727 -3.905
0.303 -4.411 0.734
S Os C Cl
1 1 1 2
direct
0.000 0.000 0.500
0.500 0.500 0.500
0.000 0.000 0.000
0.000 0.500 0.000
0.500 0.000 0.000